No. 1
Entry from Alexandria via LeMat-Bulk: an optimized crystal structure of Pm2ThRu2 (PBE).

a = 6.4249 Å, b = 6.4249 Å, c = 7.5463 Å
α = 99.68°, β = 99.68°, γ = 57.60°
Positions (direct):
Pm1 0.0509 0.2692 0.1502
Pm2 0.2692 0.0509 0.6502
Pm3 0.7308 0.9491 0.3498
Pm4 0.9491 0.7308 0.8498
Th1 0.4256 0.5744 0.2500
Th2 0.5744 0.4256 0.7500
Ru1 0.2144 0.4693 0.4758
Ru2 0.4693 0.2144 0.9758
Ru3 0.5307 0.7856 0.0242
Ru4 0.7856 0.5307 0.5242

## Properties
energy of formation from the pure elements	-0.3367	eV/atom
distance to the lowest polymorph of the same formula	0.0000	eV/atom
V	258.1	Å³/cell

---

No. 2
Entry from Alexandria via LeMat-Bulk: an optimized crystal structure of PmThRu2 (PBE).

a = 5.9051 Å, b = 5.9709 Å, c = 11.0338 Å
α = 90.00°, β = 109.00°, γ = 90.00°
Positions (direct):
Pm1 0.1927 0.1320 0.1463
Pm2 0.1927 0.8680 0.6463
Pm3 0.8073 0.1320 0.3537
Pm4 0.8073 0.8680 0.8537
Th1 0.3124 0.3653 0.8529
Th2 0.3124 0.6347 0.3529
Th3 0.6876 0.3653 0.6471
Th4 0.6876 0.6347 0.1471
Ru1 0.1478 0.3779 0.6015
Ru2 0.1478 0.6221 0.1015
Ru3 0.3589 0.1621 0.4462
Ru4 0.3589 0.8379 0.9462
Ru5 0.6411 0.1621 0.0538
Ru6 0.6411 0.8379 0.5538
Ru7 0.8522 0.3779 0.8985
Ru8 0.8522 0.6221 0.3985

## Properties
energy of formation from the pure elements	-0.2826	eV/atom
distance to the lowest polymorph of the same formula	0.0336	eV/atom
V	367.8	Å³/cell

---

No. 3
Entry from Alexandria via LeMat-Bulk: an optimized crystal structure of PmThRu2 (PBE).

a = 4.9816 Å, b = 4.9816 Å, c = 4.9816 Å
α = 60.00°, β = 60.00°, γ = 60.00°
Positions (direct):
Pm1 0.0000 0.0000 0.0000
Th1 0.5000 0.5000 0.5000
Ru1 0.2500 0.2500 0.2500
Ru2 0.7500 0.7500 0.7500

## Properties
energy of formation from the pure elements	-0.2934	eV/atom
distance to the lowest polymorph of the same formula	0.0228	eV/atom
V	87.4	Å³/cell

---

No. 4
Entry from Alexandria via LeMat-Bulk: an optimized crystal structure of Pm2Th2Ru3 (PBE).

a = 9.1410 Å, b = 9.1410 Å, c = 9.1410 Å
α = 30.22°, β = 30.22°, γ = 30.22°
Positions (direct):
Pm1 0.1276 0.1276 0.1276
Pm2 0.8724 0.8724 0.8724
Th1 0.3785 0.3785 0.3785
Th2 0.6215 0.6215 0.6215
Ru1 0.0000 0.0000 0.0000
Ru2 0.2570 0.2570 0.2570
Ru3 0.7430 0.7430 0.7430

## Properties
energy of formation from the pure elements	-0.3439	eV/atom
distance to the lowest polymorph of the same formula	0.0000	eV/atom
V	171.6	Å³/cell

---

No. 5
Entry from Alexandria via LeMat-Bulk: an optimized crystal structure of PmThRu4 (PBE).

a = 5.4171 Å, b = 5.4171 Å, c = 5.4171 Å
α = 60.00°, β = 60.00°, γ = 60.00°
Positions (direct):
Pm1 0.0000 0.0000 0.0000
Th1 0.2500 0.2500 0.2500
Ru1 0.1249 0.6250 0.6250
Ru2 0.6250 0.1249 0.6250
Ru3 0.6250 0.6250 0.1249
Ru4 0.6250 0.6250 0.6250

## Properties
energy of formation from the pure elements	-0.2487	eV/atom
V	112.4	Å³/cell

---

No. 6
Entry from Alexandria via LeMat-Bulk: an optimized crystal structure of Pm3ThRu8 (PBE).

a = 9.4108 Å, b = 9.4108 Å, c = 9.4108 Å
α = 33.34°, β = 33.34°, γ = 33.34°
Positions (direct):
Pm1 0.0000 0.0000 0.0000
Pm2 0.1239 0.1239 0.1239
Pm3 0.6260 0.6260 0.6260
Th1 0.5000 0.5000 0.5000
Ru1 0.0585 0.5650 0.5650
Ru2 0.0649 0.0649 0.5591
Ru3 0.0649 0.5591 0.0649
Ru4 0.3152 0.3152 0.3152
Ru5 0.5591 0.0649 0.0649
Ru6 0.5650 0.0585 0.5650
Ru7 0.5650 0.5650 0.0585
Ru8 0.8147 0.8147 0.8147

## Properties
energy of formation from the pure elements	-0.2144	eV/atom
V	224.2	Å³/cell

---

No. 7
Entry from Alexandria via LeMat-Bulk: an optimized crystal structure of Pm12ThRu7 (PBE).

a = 8.8095 Å, b = 8.8095 Å, c = 8.8095 Å
α = 106.40°, β = 106.40°, γ = 106.40°
Positions (direct):
Pm1 0.0541 0.3478 0.1220
Pm2 0.1220 0.0541 0.3478
Pm3 0.2096 0.7522 0.5864
Pm4 0.2478 0.4136 0.7904
Pm5 0.3478 0.1220 0.0541
Pm6 0.4136 0.7904 0.2478
Pm7 0.5864 0.2096 0.7522
Pm8 0.6522 0.8780 0.9459
Pm9 0.7522 0.5864 0.2096
Pm10 0.7904 0.2478 0.4136
Pm11 0.8780 0.9459 0.6522
Pm12 0.9459 0.6522 0.8780
Th1 0.5000 0.5000 0.5000
Ru1 0.0000 0.0000 0.0000
Ru2 0.1307 0.4006 0.4657
Ru3 0.4006 0.4657 0.1307
Ru4 0.4657 0.1307 0.4006
Ru5 0.5343 0.8693 0.5994
Ru6 0.5994 0.5343 0.8693
Ru7 0.8693 0.5994 0.5343

## Properties
energy of formation from the pure elements	-0.1433	eV/atom
V	578.4	Å³/cell

---

No. 8
Entry from Alexandria via LeMat-Bulk: an optimized crystal structure of PmThRu2 (PBE).

a = 8.1953 Å, b = 8.1953 Å, c = 8.1953 Å
α = 25.85°, β = 25.85°, γ = 25.85°
Positions (direct):
Pm1 0.0000 0.0000 0.0000
Th1 0.5000 0.5000 0.5000
Ru1 0.2449 0.2449 0.2449
Ru2 0.7551 0.7551 0.7551

## Properties
energy of formation from the pure elements	-0.0309	eV/atom
distance to the lowest polymorph of the same formula	0.2853	eV/atom
V	92.2	Å³/cell

---

DOS at the Fermi energy, record by record: 3.09 3.80 3.31 3.17 4.39 11.45 10.01 2.28 states/eV/f.u.